# 1
First-principles (PBE) data for a geometry-optimized Tb2PrHo6Tm3 structure, as listed in Alexandria.

Lattice parameters (Å, degrees): 6.123 6.123 11.714 94.98 94.98 119.94
Atoms (fractional coordinates):
1 Tb 0.167 0.833 0.000
2 Tb 0.833 0.167 0.000
3 Pr 0.500 0.500 0.000
4 Ho 0.081 0.415 0.746
5 Ho 0.251 0.251 0.253
6 Ho 0.415 0.081 0.746
7 Ho 0.585 0.919 0.254
8 Ho 0.749 0.749 0.747
9 Ho 0.919 0.585 0.254
10 Tm 0.000 0.000 0.500
11 Tm 0.333 0.667 0.500
12 Tm 0.667 0.333 0.500

DFT formation energy (eV/atom): 0.0214
Size of the total moment (Bohr magnetons per cell): 0.00
Energy (eV/f.u.): -54.665



# 2
First-principles (PBE) data for a geometry-optimized Cd2PdAu5 structure, as listed in Alexandria.

Lattice parameters (Å, degrees): 6.010 12.014 4.027 90.00 90.00 90.00
Atoms (fractional coordinates):
1 Cd 0.238 0.121 0.000
2 Cd 0.262 0.621 0.000
3 Cd 0.738 0.379 0.000
4 Cd 0.762 0.879 0.000
5 Pd 0.000 0.000 0.500
6 Pd 0.500 0.500 0.500
7 Au 0.000 0.500 0.500
8 Au 0.009 0.750 0.500
9 Au 0.247 0.375 0.000
10 Au 0.253 0.875 0.000
11 Au 0.491 0.250 0.500
12 Au 0.500 0.000 0.500
13 Au 0.509 0.750 0.500
14 Au 0.747 0.125 0.000
15 Au 0.753 0.625 0.000
16 Au 0.991 0.250 0.500

DFT formation energy (eV/atom): -0.1799
Size of the total moment (Bohr magnetons per cell): 0.00
Energy (eV/f.u.): -24.849



# 3
First-principles (PBE) data for a geometry-optimized LiRe4Ag structure, as listed in Alexandria.

Lattice parameters (Å, degrees): 5.215 5.215 5.215 60.00 60.00 60.00
Atoms (fractional coordinates):
1 Li 0.000 0.000 0.000
2 Re 0.375 0.375 0.375
3 Re 0.375 0.375 0.875
4 Re 0.375 0.875 0.375
5 Re 0.875 0.375 0.375
6 Ag 0.750 0.750 0.750

DFT formation energy (eV/atom): 0.6247
Size of the total moment (Bohr magnetons per cell): 0.00
Energy (eV/f.u.): -50.809



# 4
First-principles (PBE) data for a geometry-optimized OsPtSe2 structure, as listed in Alexandria.

Lattice parameters (Å, degrees): 7.825 7.825 7.825 26.45 26.45 26.45
Atoms (fractional coordinates):
1 Os 0.000 0.000 0.000
2 Pt 0.500 0.500 0.500
3 Se 0.395 0.395 0.395
4 Se 0.605 0.605 0.605

E_form (uncorrected) (eV/atom): 0.295
Size of the total moment (Bohr magnetons per cell): 0.00
Energy above the lowest structure with this stoichiometry (meV per atom): 130
Energy (eV/f.u.): -23.058